Entry 1:
A plane-wave DFT calculation with PBE was carried out for a relaxed SiPI2O crystal.

Cell lengths 5.654, 5.654, 3.565 Å; angles 90.00, 90.00, 90.00 degrees
Fractional coordinates of all 5 atoms:
P1 0.000 0.000 0.000
O1 0.000 0.000 0.500
Si1 0.500 0.500 0.500
I1 0.000 0.500 0.000
I2 0.500 0.000 0.000

Computed properties:
V = 114.0 Å³/cell
Uncorrected energy = -3.5797 eV/atom
Energy relative to the elements, uncorrected = 0.199 eV per atom



Entry 2:
A plane-wave DFT calculation with PBE was carried out for a relaxed SiP2IO crystal.

Cell lengths 4.905, 4.905, 3.443 Å; angles 90.00, 90.00, 90.00 degrees
Fractional coordinates of all 5 atoms:
O1 0.000 0.000 0.500
P1 0.000 0.500 0.000
I1 0.500 0.500 0.500
P2 0.500 0.000 0.000
Si1 0.000 0.000 0.000

Computed properties:
V = 82.8 Å³/cell
Uncorrected energy = -4.5152 eV/atom
Energy relative to the elements, uncorrected = 0.035 eV per atom



Entry 3:
A plane-wave DFT calculation with PBE was carried out for a relaxed SiPIO2 crystal.

Cell lengths 3.846, 3.846, 5.335 Å; angles 90.00, 90.00, 90.00 degrees
Fractional coordinates of all 5 atoms:
P1 0.000 0.000 0.000
O1 0.500 0.000 0.000
I1 0.000 0.000 0.500
Si1 0.500 0.500 0.500
O2 0.000 0.500 0.000

Computed properties:
V = 78.9 Å³/cell
Uncorrected energy = -4.2643 eV/atom
Energy relative to the elements, uncorrected = 0.196 eV per atom



Entry 4:
A plane-wave DFT calculation with PBE was carried out for a relaxed SiPIO2 crystal.

Cell lengths 3.615, 3.615, 5.466 Å; angles 90.00, 90.00, 90.00 degrees
Each line ends with the local moment (μB).
Fractional coordinates of all 5 atoms:
O1 0.000 0.500 0.000  0.07
I1 0.500 0.500 0.500  0.00
Si1 0.000 0.000 0.000  0.00
O2 0.500 0.000 0.000  0.07
P1 0.000 0.000 0.500  0.00

Computed properties:
V = 71.4 Å³/cell
Uncorrected energy = -5.0241 eV/atom
Energy relative to the elements, uncorrected = -0.564 eV per atom



Entry 5:
A plane-wave DFT calculation with PBE was carried out for a relaxed SiPI2O crystal.

Cell lengths 5.538, 5.538, 3.476 Å; angles 90.00, 90.00, 90.00 degrees
Fractional coordinates of all 5 atoms:
O1 0.000 0.000 0.500
I1 0.500 0.000 0.000
I2 0.000 0.500 0.000
Si1 0.000 0.000 0.000
P1 0.500 0.500 0.500

Computed properties:
V = 106.6 Å³/cell
Uncorrected energy = -3.7085 eV/atom
Energy relative to the elements, uncorrected = 0.070 eV per atom



Entry 6:
A plane-wave DFT calculation with PBE was carried out for a relaxed SnP2IO crystal.

Cell lengths 5.211, 5.211, 3.987 Å; angles 90.00, 90.00, 90.00 degrees
Fractional coordinates of all 5 atoms:
I1 0.000 0.000 0.000
Sn1 0.500 0.500 0.500
P1 0.000 0.500 0.000
O1 0.000 0.000 0.500
P2 0.500 0.000 0.000

Computed properties:
V = 108.3 Å³/cell
Uncorrected energy = -3.5603 eV/atom
Energy relative to the elements, uncorrected = 0.706 eV per atom



Entry 7:
A plane-wave DFT calculation with PBE was carried out for a relaxed SnPIO2 crystal.

Cell lengths 4.126, 4.126, 5.471 Å; angles 90.00, 90.00, 90.00 degrees
Fractional coordinates of all 5 atoms:
I1 0.000 0.000 0.000
Sn1 0.500 0.500 0.500
P1 0.000 0.000 0.500
O1 0.000 0.500 0.000
O2 0.500 0.000 0.000

Computed properties:
V = 93.1 Å³/cell
Uncorrected energy = -4.0006 eV/atom
Energy relative to the elements, uncorrected = 0.175 eV per atom



Entry 8:
A plane-wave DFT calculation with PBE was carried out for a relaxed SnPIO2 crystal.

Cell lengths 4.149, 4.149, 5.199 Å; angles 90.00, 90.00, 90.00 degrees
Fractional coordinates of all 5 atoms:
Sn1 0.500 0.500 0.500
I1 0.000 0.000 0.500
O1 0.500 0.000 0.000
P1 0.000 0.000 0.000
O2 0.000 0.500 0.000

Computed properties:
V = 89.5 Å³/cell
Uncorrected energy = -4.1481 eV/atom
Energy relative to the elements, uncorrected = 0.028 eV per atom



Entry 9:
A plane-wave DFT calculation with PBE was carried out for a relaxed SnPIO2 crystal.

Cell lengths 3.996, 3.996, 5.935 Å; angles 90.00, 90.00, 90.00 degrees
Each line ends with the local moment (μB).
Fractional coordinates of all 5 atoms:
P1 0.000 0.000 0.500  0.00
I1 0.500 0.500 0.500  0.00
O1 0.500 0.000 0.000  0.11
Sn1 0.000 0.000 0.000  -0.01
O2 0.000 0.500 0.000  0.11

Computed properties:
V = 94.8 Å³/cell
Uncorrected energy = -4.4108 eV/atom
Energy relative to the elements, uncorrected = -0.235 eV per atom



Entry 10:
A plane-wave DFT calculation with PBE was carried out for a relaxed SnPI2O crystal.

Cell lengths 5.907, 5.907, 3.616 Å; angles 90.00, 90.00, 90.00 degrees
Fractional coordinates of all 5 atoms:
Sn1 0.500 0.500 0.500
I1 0.000 0.500 0.000
I2 0.500 0.000 0.000
O1 0.000 0.000 0.500
P1 0.000 0.000 0.000

Computed properties:
V = 126.2 Å³/cell
Uncorrected energy = -3.6493 eV/atom
Energy relative to the elements, uncorrected = -0.155 eV per atom



Entry 11:
A plane-wave DFT calculation with PBE was carried out for a relaxed SnPI2O crystal.

Cell lengths 6.093, 6.093, 4.017 Å; angles 90.00, 90.00, 90.00 degrees
Each line ends with the local moment (μB).
Fractional coordinates of all 5 atoms:
I1 0.500 0.000 0.000  0.04
O1 0.000 0.000 0.500  0.00
P1 0.500 0.500 0.500  0.92
Sn1 0.000 0.000 0.000  -0.01
I2 0.000 0.500 0.000  0.04

Computed properties:
V = 149.2 Å³/cell
Uncorrected energy = -3.2249 eV/atom
Energy relative to the elements, uncorrected = 0.269 eV per atom



Entry 12:
A plane-wave DFT calculation with PBE was carried out for a relaxed SnP2IO crystal.

Cell lengths 5.230, 5.230, 3.982 Å; angles 90.00, 90.00, 90.00 degrees
Fractional coordinates of all 5 atoms:
O1 0.000 0.000 0.500
P1 0.000 0.500 0.000
Sn1 0.000 0.000 0.000
P2 0.500 0.000 0.000
I1 0.500 0.500 0.500

Computed properties:
V = 108.9 Å³/cell
Uncorrected energy = -3.8337 eV/atom
Energy relative to the elements, uncorrected = 0.432 eV per atom



Entry 13:
A plane-wave DFT calculation with PBE was carried out for a relaxed SnPIO2 crystal.

Cell lengths 3.944, 3.944, 7.829 Å; angles 90.00, 90.00, 90.00 degrees
Each line ends with the local moment (μB).
Fractional coordinates of all 5 atoms:
P1 0.500 0.500 0.500  0.09
I1 0.000 0.000 0.500  0.02
Sn1 0.000 0.000 0.000  0.00
O1 0.000 0.500 0.000  0.00
O2 0.500 0.000 0.000  0.00

Computed properties:
V = 121.8 Å³/cell
Uncorrected energy = -4.2707 eV/atom
Energy relative to the elements, uncorrected = -0.095 eV per atom



Entry 14:
A plane-wave DFT calculation with PBE was carried out for a relaxed Sr2PIO4 crystal.

Cell lengths 9.015, 8.560, 9.355 Å; angles 67.40, 90.00, 90.00 degrees
Fractional coordinates of all 32 atoms:
I1 0.386 0.769 0.491
O1 0.165 0.667 0.875
Sr1 0.171 0.453 0.754
I2 0.886 0.731 0.509
O2 0.419 0.165 0.135
O3 0.582 0.563 0.105
O4 0.612 0.214 0.928
Sr2 0.329 0.953 0.754
O5 0.335 0.167 0.875
I3 0.114 0.269 0.491
O6 0.081 0.665 0.135
P1 0.448 0.243 0.956
O7 0.665 0.833 0.125
P2 0.052 0.743 0.956
O8 0.112 0.286 0.072
Sr3 0.829 0.547 0.246
O9 0.835 0.333 0.125
Sr4 0.197 0.962 0.143
O10 0.388 0.786 0.072
O11 0.581 0.835 0.865
O12 0.082 0.937 0.895
Sr5 0.697 0.538 0.857
Sr6 0.803 0.038 0.857
O13 0.888 0.714 0.928
P3 0.948 0.257 0.044
I4 0.614 0.231 0.509
Sr7 0.303 0.462 0.143
P4 0.552 0.757 0.044
O14 0.418 0.437 0.895
O15 0.919 0.335 0.865
O16 0.918 0.063 0.105
Sr8 0.671 0.047 0.246

Computed properties:
V = 666.5 Å³/cell
Uncorrected energy = -6.4763 eV/atom
Energy relative to the elements, uncorrected = -2.707 eV per atom



Entry 15:
A plane-wave DFT calculation with PBE was carried out for a relaxed SrPI2O crystal.

Cell lengths 6.493, 6.493, 4.496 Å; angles 90.00, 90.00, 90.00 degrees
Each line ends with the local moment (μB).
Fractional coordinates of all 5 atoms:
I1 0.500 0.000 0.000  -0.09
P1 0.500 0.500 0.500  0.95
O1 0.000 0.000 0.500  -0.68
I2 0.000 0.500 0.000  -0.09
Sr1 0.000 0.000 0.000  -0.02

Computed properties:
V = 189.5 Å³/cell
Uncorrected energy = -3.0518 eV/atom
Energy relative to the elements, uncorrected = -0.022 eV per atom



Entry 16:
A plane-wave DFT calculation with PBE was carried out for a relaxed SrPIO2 crystal.

Cell lengths 4.304, 4.304, 5.148 Å; angles 90.00, 90.00, 90.00 degrees
Fractional coordinates of all 5 atoms:
O1 0.000 0.500 0.000
Sr1 0.500 0.500 0.500
I1 0.000 0.000 0.000
O2 0.500 0.000 0.000
P1 0.000 0.000 0.500

Computed properties:
V = 95.4 Å³/cell
Uncorrected energy = -4.1922 eV/atom
Energy relative to the elements, uncorrected = -0.481 eV per atom



Entry 17:
A plane-wave DFT calculation with PBE was carried out for a relaxed SrPIO2 crystal.

Cell lengths 4.469, 4.469, 7.525 Å; angles 90.00, 90.00, 90.00 degrees
Each line ends with the local moment (μB).
Fractional coordinates of all 5 atoms:
P1 0.000 0.000 0.500  0.47
I1 0.500 0.500 0.500  0.05
Sr1 0.000 0.000 0.000  0.06
O1 0.000 0.500 0.000  0.81
O2 0.500 0.000 0.000  0.81

Computed properties:
V = 150.3 Å³/cell
Uncorrected energy = -3.6888 eV/atom
Energy relative to the elements, uncorrected = 0.023 eV per atom



Entry 18:
A plane-wave DFT calculation with PBE was carried out for a relaxed SrPI2O crystal.

Cell lengths 5.987, 5.987, 3.741 Å; angles 90.00, 90.00, 90.00 degrees
Fractional coordinates of all 5 atoms:
O1 0.000 0.000 0.500
I1 0.000 0.500 0.000
I2 0.500 0.000 0.000
Sr1 0.500 0.500 0.500
P1 0.000 0.000 0.000

Computed properties:
V = 134.1 Å³/cell
Uncorrected energy = -3.7626 eV/atom
Energy relative to the elements, uncorrected = -0.733 eV per atom



Entry 19:
A plane-wave DFT calculation with PBE was carried out for a relaxed SrPIO2 crystal.

Cell lengths 4.269, 4.269, 5.145 Å; angles 90.00, 90.00, 90.00 degrees
Fractional coordinates of all 5 atoms:
Sr1 0.500 0.500 0.500
I1 0.000 0.000 0.500
O1 0.500 0.000 0.000
O2 0.000 0.500 0.000
P1 0.000 0.000 0.000

Computed properties:
V = 93.8 Å³/cell
Uncorrected energy = -4.4141 eV/atom
Energy relative to the elements, uncorrected = -0.702 eV per atom



Entry 20:
A plane-wave DFT calculation with PBE was carried out for a relaxed SrPIO2 crystal.

Cell lengths 4.499, 4.499, 7.282 Å; angles 90.00, 90.00, 90.00 degrees
Each line ends with the local moment (μB).
Fractional coordinates of all 5 atoms:
I1 0.000 0.000 0.500  0.01
O1 0.000 0.500 0.000  0.81
O2 0.500 0.000 0.000  0.81
P1 0.500 0.500 0.500  0.58
Sr1 0.000 0.000 0.000  0.05

Computed properties:
V = 147.4 Å³/cell
Uncorrected energy = -3.7112 eV/atom
Energy relative to the elements, uncorrected = 0.000 eV per atom



Entry 21:
A plane-wave DFT calculation with PBE was carried out for a relaxed TaPI2O crystal.

Cell lengths 5.590, 5.590, 3.860 Å; angles 90.00, 90.00, 90.00 degrees
Fractional coordinates of all 5 atoms:
O1 0.000 0.000 0.500
I1 0.000 0.500 0.000
Ta1 0.000 0.000 0.000
I2 0.500 0.000 0.000
P1 0.500 0.500 0.500

Computed properties:
V = 120.6 Å³/cell
Uncorrected energy = -5.1551 eV/atom
Energy relative to the elements, uncorrected = -0.091 eV per atom



Entry 22:
A plane-wave DFT calculation with PBE was carried out for a relaxed TaPIO2 crystal.

Cell lengths 3.908, 3.908, 6.350 Å; angles 90.00, 90.00, 90.00 degrees
Fractional coordinates of all 5 atoms:
I1 0.000 0.000 0.500
O1 0.500 0.000 0.000
Ta1 0.000 0.000 0.000
O2 0.000 0.500 0.000
P1 0.500 0.500 0.500

Computed properties:
V = 97.0 Å³/cell
Uncorrected energy = -6.6441 eV/atom
Energy relative to the elements, uncorrected = -0.898 eV per atom



Entry 23:
A plane-wave DFT calculation with PBE was carried out for a relaxed TaPIO2 crystal.

Cell lengths 3.949, 3.949, 5.519 Å; angles 90.00, 90.00, 90.00 degrees
Fractional coordinates of all 5 atoms:
O1 0.000 0.500 0.000
P1 0.000 0.000 0.500
Ta1 0.000 0.000 0.000
O2 0.500 0.000 0.000
I1 0.500 0.500 0.500

Computed properties:
V = 86.1 Å³/cell
Uncorrected energy = -7.0102 eV/atom
Energy relative to the elements, uncorrected = -1.264 eV per atom



Entry 24:
A plane-wave DFT calculation with PBE was carried out for a relaxed TaPIO2 crystal.

Cell lengths 3.870, 3.870, 5.341 Å; angles 90.00, 90.00, 90.00 degrees
Each line ends with the local moment (μB).
Fractional coordinates of all 5 atoms:
Ta1 0.500 0.500 0.500  1.47
O1 0.500 0.000 0.000  0.03
P1 0.000 0.000 0.000  0.02
I1 0.000 0.000 0.500  0.00
O2 0.000 0.500 0.000  0.03

Computed properties:
V = 80.0 Å³/cell
Uncorrected energy = -5.1843 eV/atom
Energy relative to the elements, uncorrected = 0.561 eV per atom



Entry 25:
A plane-wave DFT calculation with PBE was carried out for a relaxed TaPIO2 crystal.

Cell lengths 3.847, 3.847, 7.604 Å; angles 90.00, 90.00, 90.00 degrees
Each line ends with the local moment (μB).
Fractional coordinates of all 5 atoms:
O1 0.500 0.000 0.000  0.04
O2 0.000 0.500 0.000  0.04
I1 0.000 0.000 0.000  0.04
Ta1 0.500 0.500 0.500  1.26
P1 0.000 0.000 0.500  -0.10

Computed properties:
V = 112.5 Å³/cell
Uncorrected energy = -5.1483 eV/atom
Energy relative to the elements, uncorrected = 0.598 eV per atom



Entry 26:
A plane-wave DFT calculation with PBE was carried out for a relaxed TaP2IO crystal.

Cell lengths 5.028, 5.028, 3.924 Å; angles 90.00, 90.00, 90.00 degrees
Fractional coordinates of all 5 atoms:
I1 0.500 0.500 0.500
P1 0.500 0.000 0.000
Ta1 0.000 0.000 0.000
P2 0.000 0.500 0.000
O1 0.000 0.000 0.500

Computed properties:
V = 99.2 Å³/cell
Uncorrected energy = -6.1820 eV/atom
Energy relative to the elements, uncorrected = -0.346 eV per atom



Entry 27:
A plane-wave DFT calculation with PBE was carried out for a relaxed TaPI2O crystal.

Cell lengths 5.572, 5.572, 3.452 Å; angles 90.00, 90.00, 90.00 degrees
Each line ends with the local moment (μB).
Fractional coordinates of all 5 atoms:
Ta1 0.500 0.500 0.500  1.40
O1 0.000 0.000 0.500  0.01
P1 0.000 0.000 0.000  0.00
I1 0.500 0.000 0.000  -0.04
I2 0.000 0.500 0.000  -0.04

Computed properties:
V = 107.2 Å³/cell
Uncorrected energy = -4.5594 eV/atom
Energy relative to the elements, uncorrected = 0.505 eV per atom